Entry 1:
This record from the Alexandria database describes TaZn2BP after structural relaxation. The functional is PBE.

Values from the calculation:
- DOS(E_F): 2.07 states/eV/f.u.
- DFT formation energy: 6.17 eV/f.u.

a = 4.3327 Å, b = 4.7380 Å, c = 4.3327 Å
α = 90.00°, β = 90.00°, γ = 90.00°
Closest atoms and distances in Å follow each position.
Atoms (fractional coordinates):
1 Zn 0.5000 0.0000 0.0000  2 P 2.17
2 B 0.5000 0.5000 0.5000  4 Ta 3.06, 8 Zn 3.21
3 Ta 0.0000 0.5000 0.0000  2 P 2.37
4 Zn 0.0000 0.0000 0.5000  2 P 2.17
5 P 0.0000 0.0000 0.0000  4 Zn 2.17, 2 Ta 2.37


Entry 2:
This record from the Alexandria database describes KLiAs2Pd after structural relaxation. The functional is PBE.

Values from the calculation:
- DOS(E_F): 3.59 states/eV/f.u.
- DFT formation energy: 0.41 eV/f.u.

a = 4.9323 Å, b = 5.5578 Å, c = 4.9323 Å
α = 90.00°, β = 90.00°, γ = 90.00°
Closest atoms and distances in Å follow each position.
Atoms (fractional coordinates):
1 As 0.5000 0.0000 0.0000  2 Pd 2.47
2 K 0.0000 0.5000 0.0000  2 Pd 2.78
3 Pd 0.0000 0.0000 0.0000  4 As 2.47
4 As 0.0000 0.0000 0.5000  2 Pd 2.47
5 Li 0.5000 0.5000 0.5000  4 K 3.49, 8 As 3.72


no.,electronic total energy (eV per atom),total moment (μB/f.u.)
1,-4.063,0.0
2,-3.419,0.0